Below is a relaxed TeWN2F crystal, with properties calculated at the GGA+U level.

Computed properties:
The energy above the lowest structure with this stoichiometry is 799 kJ/mol of formula units. The value obtained for the electronic total energy is -3.8530 eV/atom. Its crystal system is tetragonal. Its space group is P4/mmm, No. 123.

abc: 4.363 4.363 4.100
angles: 90.00 90.00 90.00
Element x y z (fractional)
1 Te 0.000 0.000 0.000
2 W 0.500 0.500 0.000
3 N 0.000 0.500 0.500
4 N 0.500 0.000 0.500
5 F 0.000 0.000 0.500